Record 1
First-principles (PBEsol) data for a relaxed ZrTl2AsPt crystal, as listed in Alexandria.

```
5
Lattice="5.069 0.000 0.000 0.000 5.069 0.000 0.000 0.000 5.152" Properties=species:S:1:pos:R:3 pbc="T T T"
Zr 0.000 0.000 0.000
Tl 0.000 2.534 2.576
Tl 2.534 0.000 2.576
As 2.534 2.534 0.000
Pt 0.000 0.000 2.576
```

Calculated formation energy   0.275 eV per atom
Fermi-level density of states   0.42 states/eV per atom
VASP energy   -5.009 eV per atom
Volume   26.47 A^3/atom
Crystal system   tetragonal

---

Record 2
First-principles (PBEsol) data for a relaxed NiMo2Br crystal, as listed in Alexandria.

```
8
Lattice="3.674 0.000 0.000 0.000 3.674 0.000 0.000 0.000 8.845" Properties=species:S:1:pos:R:3 pbc="T T T"
Ni 0.000 0.000 0.000
Ni 1.837 1.837 4.422
Mo 0.000 1.837 2.211
Mo 0.000 1.837 6.633
Mo 1.837 0.000 2.211
Mo 1.837 0.000 6.633
Br 0.000 0.000 4.422
Br 1.837 1.837 0.000
```

Formation energy (no corrections)   0.851 eV/atom
Fermi-level density of states   0.93 states/eV per atom
VASP energy   -7.040 eV per atom
Volume   14.93 A^3/atom
Crystal system   tetragonal

---

Record 3
First-principles (PBEsol) data for a relaxed TlWCl crystal, as listed in Alexandria.

```
6
Lattice="2.910 0.000 0.000 0.000 2.910 0.000 0.000 0.000 14.506" Properties=species:S:1:pos:R:3 pbc="T T T"
Tl 0.000 0.000 0.000
Tl 1.455 1.455 7.253
W 0.000 0.000 9.664
W 1.455 1.455 2.411
Cl 0.000 0.000 3.907
Cl 1.455 1.455 11.160
```

Formation energy (no corrections)   0.572 eV/atom
VASP energy   -5.576 eV per atom
Volume   20.47 A^3/atom
Crystal system   tetragonal

---

Record 4
First-principles (PBEsol) data for a relaxed SrLaCd2 crystal, as listed in Alexandria.

```
4
Lattice="3.712 0.000 0.000 0.000 3.712 0.000 0.000 0.000 8.942" Properties=species:S:1:pos:R:3 pbc="T T T"
Sr 0.000 0.000 0.000
La 1.856 1.856 5.701
Cd 0.000 0.000 3.675
Cd 1.856 1.856 2.151
```

Calculated formation energy   -0.118 eV per atom
Fermi-level density of states   1.08 states/eV per atom
VASP energy   -2.514 eV per atom
Volume   30.80 A^3/atom
Crystal system   tetragonal

---

Record 5
First-principles (PBEsol) data for a relaxed FeRuPt2 crystal, as listed in Alexandria.

```
4
Lattice="3.206 0.000 0.000 0.000 3.206 0.000 0.000 0.000 5.428" Properties=species:S:1:pos:R:3 pbc="T T T"
Fe 0.000 0.000 0.000
Ru 1.603 1.603 4.115
Pt 0.000 0.000 2.762
Pt 1.603 1.603 1.303
```

Calculated formation energy   0.126 eV per atom
Fermi-level density of states   1.03 states/eV per atom
VASP energy   -8.140 eV per atom
Volume   13.95 A^3/atom
Crystal system   tetragonal

---

Record 6
First-principles (PBEsol) data for a relaxed DyInO3 crystal, as listed in Alexandria.

```
20
Lattice="5.798 0.000 0.000 0.000 8.090 0.000 0.000 0.000 5.458" Properties=species:S:1:pos:R:3 pbc="T T T"
Dy 0.387 2.022 0.132
Dy 2.511 6.067 2.861
Dy 3.286 2.022 2.597
Dy 5.410 6.067 5.326
In 0.000 0.000 2.729
In 0.000 4.045 2.729
In 2.899 0.000 0.000
In 2.899 4.045 0.000
O 0.404 6.067 1.931
O 1.106 4.659 4.438
O 1.106 7.476 4.438
O 1.793 0.614 1.709
O 1.793 3.431 1.709
O 2.495 2.022 4.660
O 3.303 6.067 0.799
O 4.005 4.659 3.750
O 4.005 7.476 3.750
O 4.692 0.614 1.020
O 4.692 3.431 1.020
O 5.393 2.022 3.528
```

Formation energy (no corrections)   -2.579 eV/atom
Fermi-level density of states   0.00 states/eV per atom
VASP energy   -7.321 eV per atom
Volume   12.80 A^3/atom
Crystal system   orthorhombic

---

Record 7
First-principles (PBEsol) data for a relaxed Hg2PSe crystal, as listed in Alexandria.

```
16
Lattice="6.878 0.000 0.000 0.000 6.878 0.000 0.000 0.000 6.878" Properties=species:S:1:pos:R:3 pbc="T T T"
Hg 1.720 1.720 1.720
Hg 1.720 1.720 5.159
Hg 1.720 5.159 1.720
Hg 1.720 5.159 5.159
Hg 5.159 1.720 1.720
Hg 5.159 1.720 5.159
Hg 5.159 5.159 1.720
Hg 5.159 5.159 5.159
P 0.000 0.000 0.000
P 0.000 3.439 3.439
P 3.439 0.000 3.439
P 3.439 3.439 0.000
Se 0.000 0.000 3.439
Se 0.000 3.439 0.000
Se 3.439 0.000 0.000
Se 3.439 3.439 3.439
```

Formation energy (no corrections)   0.549 eV/atom
Fermi-level density of states   0.81 states/eV per atom
VASP energy   -2.145 eV per atom
Volume   20.34 A^3/atom
Crystal system   cubic

---

Record 8
First-principles (PBEsol) data for a relaxed K4GeSe4 crystal, as listed in Alexandria.

```
72
Lattice="13.213 0.000 0.000 0.000 13.213 0.000 0.000 0.000 13.213" Properties=species:S:1:pos:R:3 pbc="T T T"
K 1.180 1.741 8.574
K 1.180 11.472 4.639
K 1.741 4.639 12.034
K 1.741 8.574 1.180
K 1.971 1.971 1.971
K 1.967 4.865 5.427
K 1.967 8.348 7.786
K 1.971 11.242 11.242
K 4.639 1.180 11.472
K 4.635 4.635 8.578
K 4.635 8.578 4.635
K 4.639 12.034 1.741
K 4.865 5.427 1.967
K 4.865 7.786 11.246
K 5.427 1.967 4.865
K 5.427 11.246 8.348
K 7.786 1.967 8.348
K 7.786 11.246 4.865
K 8.348 5.427 11.246
K 8.348 7.786 1.967
K 8.574 1.180 1.741
K 8.578 4.635 4.635
K 8.578 8.578 8.578
K 8.574 12.034 11.472
K 11.242 1.971 11.242
K 11.246 4.865 7.786
K 11.246 8.348 5.427
K 11.242 11.242 1.971
K 11.472 4.639 1.180
K 11.472 8.574 12.034
K 12.034 1.741 4.639
K 12.034 11.472 8.574
Ge 0.000 0.000 0.000
Ge 0.000 6.607 3.303
Ge 0.000 6.607 9.910
Ge 3.303 0.000 6.607
Ge 6.607 3.303 0.000
Ge 6.607 6.607 6.607
Ge 6.607 9.910 0.000
Ge 9.910 0.000 6.607
Se 1.298 5.096 8.628
Se 1.298 8.117 4.585
Se 1.364 1.364 11.849
Se 1.364 11.849 1.364
Se 1.511 5.308 2.021
Se 1.511 7.905 11.192
Se 2.021 1.511 5.308
Se 2.021 11.702 7.905
Se 4.585 1.298 8.117
Se 4.585 11.915 5.096
Se 5.096 4.585 11.915
Se 5.096 8.628 1.298
Se 5.242 5.242 5.242
Se 5.242 7.971 7.971
Se 5.308 2.021 1.511
Se 5.308 11.192 11.702
Se 7.905 2.021 11.702
Se 7.905 11.192 1.511
Se 7.971 5.242 7.971
Se 7.971 7.971 5.242
Se 8.117 4.585 1.298
Se 8.117 8.628 11.915
Se 8.628 1.298 5.096
Se 8.628 11.915 8.117
Se 11.192 1.511 7.905
Se 11.192 11.702 5.308
Se 11.702 5.308 11.192
Se 11.702 7.905 2.021
Se 11.849 1.364 1.364
Se 11.849 11.849 11.849
Se 11.915 5.096 4.585
Se 11.915 8.117 8.628
```

Formation energy (no corrections)   -0.995 eV/atom
Fermi-level density of states   0.00 states/eV per atom
VASP energy   -3.759 eV per atom
Volume   32.04 A^3/atom
Crystal system   cubic